[1]
! YGe2Pd5 PBE optimized geometry; values from VASP
! DFT total energy in eV/atom: -5.863
! Fermi-level density of states in states/eV/atom: 0.484
&SYSTEM
  ibrav = 0, nat = 8, ntyp = 3
/
ATOMIC_SPECIES
Y 88.91 Y.upf
Ge 72.64 Ge.upf
Pd 106.42 Pd.upf
CELL_PARAMETERS angstrom
-1.920 3.647 4.970
1.920 -3.647 4.970
1.920 3.647 -4.970
ATOMIC_POSITIONS angstrom
Y 0.000 0.000 0.000
Ge 1.920 0.000 2.485
Ge 0.000 3.647 2.485
Pd 1.920 2.202 -1.434
Pd 1.920 2.202 1.434
Pd 0.000 3.647 0.000
Pd 0.000 1.446 3.537
Pd 0.000 1.446 6.404


[2]
! VInGeCl6 PBE optimized geometry; values from VASP
! Fermi-level density of states in states/eV/atom: 0.683
! Energy relative to the elements, uncorrected in kJ/mol of formula units: -865.7
&SYSTEM
  ibrav = 0, nat = 9, ntyp = 4
/
ATOMIC_SPECIES
V 50.94 V.upf
In 114.82 In.upf
Ge 72.64 Ge.upf
Cl 35.45 Cl.upf
CELL_PARAMETERS angstrom
6.648 0.000 0.000
-3.324 5.757 0.000
0.000 0.000 6.815
ATOMIC_POSITIONS angstrom
V 0.000 0.000 0.000
In 0.000 3.838 3.407
Ge 3.324 1.919 0.000
Cl 1.957 0.127 1.391
Cl 1.088 1.632 5.424
Cl 4.691 0.127 5.424
Cl 2.455 3.999 1.391
Cl 5.560 1.632 1.391
Cl 4.193 3.999 5.424


[3]
! HoFe2B3 PBE optimized geometry; values from VASP
! DFT total energy in eV/atom: -7.386
! Fermi-level density of states in states/eV/atom: 0.746
&SYSTEM
  ibrav = 0, nat = 12, ntyp = 3
/
ATOMIC_SPECIES
Ho 164.93 Ho.upf
Fe 55.84 Fe.upf
B 10.81 B.upf
CELL_PARAMETERS angstrom
4.127 -2.938 0.000
4.127 2.938 0.000
0.000 0.000 5.032
ATOMIC_POSITIONS angstrom
Ho 4.127 1.942 3.774
Ho 4.127 -1.942 1.258
Fe 2.525 0.000 0.000
Fe 2.525 0.000 2.516
Fe 5.729 0.000 0.000
Fe 5.729 0.000 2.516
B 2.660 1.715 1.258
B 4.127 0.772 1.258
B 5.595 1.715 1.258
B 2.660 -1.715 3.774
B 4.127 -0.772 3.774
B 5.595 -1.715 3.774


[4]
! LiCaTa PBE optimized geometry; values from VASP
! Fermi-level density of states in states/eV/atom: 0.955
! ΔE to the lowest computed polymorph in eV/atom: 0.6349
&SYSTEM
  ibrav = 0, nat = 3, ntyp = 3
/
ATOMIC_SPECIES
Li 6.94 Li.upf
Ca 40.08 Ca.upf
Ta 180.95 Ta.upf
CELL_PARAMETERS angstrom
5.365 0.000 0.000
-2.683 4.646 0.000
0.000 0.000 2.734
ATOMIC_POSITIONS angstrom
Li 0.000 0.000 0.000
Ca 0.000 3.098 1.367
Ta 2.683 1.549 1.367


[5]
! Sm2Zr2Se7 PBE optimized geometry; values from VASP
! Fermi-level density of states in states/eV/atom: 0.191
! Energy relative to the elements, uncorrected in kJ/mol of formula units: -1581.0
&SYSTEM
  ibrav = 0, nat = 11, ntyp = 3
/
ATOMIC_SPECIES
Sm 150.36 Sm.upf
Zr 91.22 Zr.upf
Se 78.96 Se.upf
CELL_PARAMETERS angstrom
-1.995 7.268 4.468
1.995 -7.268 4.468
1.995 7.268 -4.468
ATOMIC_POSITIONS angstrom
Sm 0.000 3.299 0.000
Sm 0.000 11.237 0.000
Zr 0.000 0.000 2.280
Zr 0.000 7.268 1.728
Se 1.995 -1.873 1.879
Se 1.995 1.873 1.879
Se 1.995 5.768 0.169
Se 0.000 4.665 2.589
Se 0.000 1.500 4.637
Se 0.000 0.000 8.244
Se 0.000 9.871 2.589


[6]
! LaIr2Os PBE optimized geometry; values from VASP
! Fermi-level density of states in states/eV/atom: 0.798
! ΔE to the lowest computed polymorph in eV/atom: 0.1534
&SYSTEM
  ibrav = 0, nat = 8, ntyp = 3
/
ATOMIC_SPECIES
La 138.91 La.upf
Ir 192.22 Ir.upf
Os 190.23 Os.upf
CELL_PARAMETERS angstrom
-2.439 2.439 8.290
2.439 -2.439 8.290
2.439 2.439 -8.290
ATOMIC_POSITIONS angstrom
La 0.000 0.000 0.000
La 0.000 2.439 4.145
Ir 1.220 -0.391 6.218
Ir 2.048 1.220 2.073
Ir 1.220 2.830 -2.073
Ir 0.391 1.220 10.363
Os 2.439 0.000 4.145
Os 0.000 0.000 8.290